Record 1
# La3Ni2Sn3Pd

A relaxed La3Ni2Sn3Pd crystal (PBE-GGA, the Open Quantum Materials Database).

Cell: 7.5489 7.5489 4.2070 Å, 90.00 90.00 120.00°
Closest atoms and distances in Å follow each position.
Positions (direct):
La  0.5815  0.5815  0.0000  4 Ni 3.09, 1 Pd 3.16, 2 Sn 3.25
La  0.4185  0.0000  0.0000  4 Ni 3.09, 1 Pd 3.16, 2 Sn 3.25
La  0.0000  0.4185  0.0000  4 Ni 3.09, 1 Pd 3.16, 2 Sn 3.25
Sn  0.7460  0.0000  0.5000  2 Pd 2.85, 2 Ni 2.86
Sn  0.2540  0.2540  0.5000  2 Pd 2.85, 2 Ni 2.86
Pd  0.0000  0.0000  0.0000  6 Sn 2.85, 3 La 3.16
Ni  0.6667  0.3333  0.5000  3 Sn 2.86, 6 La 3.09
Ni  0.3333  0.6667  0.5000  3 Sn 2.86, 6 La 3.09
Sn  0.0000  0.7460  0.5000  2 Pd 2.85, 2 Ni 2.86

---

Record 2
# HfUIn

A relaxed HfUIn crystal (PBE-GGA, the Open Quantum Materials Database).

Values from the calculation:
ΔE to the lowest computed polymorph in meV per atom: 0

Cell: 4.9510 4.9510 4.9510 Å, 60.00 60.00 60.00°
Closest atoms and distances in Å follow each position.
Positions (direct):
In  0.0000  0.0000  0.0000  4 Hf 3.03, 4 U 3.03
U  0.7500  0.7500  0.7500  4 In 3.03
Hf  0.2500  0.2500  0.2500  4 In 3.03

---

Record 3
# AcZr2

A relaxed AcZr2 crystal (PBE-GGA, the Open Quantum Materials Database).

Values from the calculation:
ΔE to the lowest computed polymorph in meV per atom: 0

Cell: 18.9893 3.4409 5.3975 Å, 90.00 90.00 90.00°
Closest atoms and distances in Å follow each position.
Positions (direct):
Zr  0.9506  0.5000  0.5000  10 Zr 3.10-3.44
Zr  0.8583  0.5000  0.0000  6 Zr 3.10-3.44
Zr  0.4938  0.5000  0.0000  10 Zr 3.10-3.44
Zr  0.4506  0.0000  0.5000  10 Zr 3.10-3.44
Ac  0.7874  0.0000  0.5000  4 Ac 3.44-3.66, 6 Zr 3.47-3.55
Zr  0.9938  0.0000  0.0000  10 Zr 3.10-3.44
Zr  0.0862  0.0000  0.5000  6 Zr 3.10-3.44
Zr  0.3582  0.0000  0.0000  6 Zr 3.10-3.44
Ac  0.2873  0.5000  0.5000  4 Ac 3.44-3.66, 6 Zr 3.47-3.55
Ac  0.1571  0.5000  0.0000  4 Ac 3.44-3.66, 6 Zr 3.47-3.55
Ac  0.6571  0.0000  0.0000  4 Ac 3.44-3.66, 6 Zr 3.47-3.55
Zr  0.5862  0.5000  0.5000  6 Zr 3.10-3.44

---

Record 4
# AgOsO3

A relaxed AgOsO3 crystal (PBE-GGA, the Open Quantum Materials Database).

Cell: 3.2362 3.2362 5.9541 Å, 90.00 90.00 90.00°
Closest atoms and distances in Å follow each position.
Positions (direct):
O  0.0000  0.5000  0.7373  2 Os 1.92
Os  0.0000  0.0000  0.9121  4 O 1.92
Ag  0.5000  0.5000  0.4329  1 O 2.10
O  0.5000  0.5000  0.0804  1 Ag 2.10
O  0.5000  0.0000  0.7373  2 Os 1.92

---

M_tot values, unit Bohr magnetons per cell, following the record order: 0.0 4.1 0.0 0.5.
Total DFT energy (no corrections) values, unit eV/atom, following the record order: -5.52 -7.13 -6.87 -5.78.